Density functional theory data (PBE) for a relaxed OsRuIO2 crystal.

a b c (Å): 3.739 3.739 8.186
angles (deg): 90.00 90.00 90.00
Sites, in units of the cell vectors:
1 Os 0.000 0.000 0.000
2 Ru 0.500 0.500 0.500
3 I 0.000 0.000 0.500
4 O 0.000 0.500 0.000
5 O 0.500 0.000 0.000

Calculated values
Distance to the lowest polymorph of the same formula (meV per atom): 0
Formation energy without anion corrections (meV per atom): 154
Symmetry: P4/mmm (123)
M_tot (μB/f.u.): 1.62
DOS(E_F) (states/eV per atom): 0.846